Record 1
! PBE Pm6Pb3S, relaxed; values from VASP
! * DOS at the Fermi energy: 21.9 states/eV/cell
! * total DFT energy (no corrections): -4.98 eV per atom
! * formation energy without anion corrections: -0.61 eV per atom
&SYSTEM
  ibrav = 0, nat = 20, ntyp = 3
/
ATOMIC_SPECIES
Pm 145.00 Pm.upf
S 32.06 S.upf
Pb 207.20 Pb.upf
CELL_PARAMETERS angstrom
-5.448 -0.321 -4.880
-3.456 -7.967 4.382
-4.852 6.811 4.968
ATOMIC_POSITIONS angstrom
Pm -4.651 -4.527 3.745
Pm -8.111 3.109 1.615
S -10.053 4.310 0.038
Pm -6.129 -4.329 -0.188
Pm -3.825 -1.046 2.274
Pm -6.421 -1.407 5.194
Pb -6.949 0.594 7.684
Pm -7.623 -8.083 0.665
Pb -1.683 1.326 1.758
Pm -6.712 2.906 5.478
S -6.345 -5.942 2.065
Pm -8.733 -4.691 2.743
Pm -4.108 3.269 2.547
Pm -9.256 -0.391 2.801
Pb -4.117 -1.911 -0.804
Pb -6.251 0.924 2.997
Pb -8.670 -2.469 0.429
Pb -9.382 -2.644 5.122
Pm -6.660 -0.030 -0.120
Pm -6.271 6.599 3.681


Record 2
! PBE TbSm6Er4, relaxed; values from VASP
! * DOS at the Fermi energy: 38.2 states/eV/cell
! * total DFT energy (no corrections): -4.54 eV per atom
! * energy relative to the elements: 11.4 kJ per mole of atoms
! * energy above the most stable polymorph in this dataset: 0.000 eV per atom
&SYSTEM
  ibrav = 0, nat = 22, ntyp = 3
/
ATOMIC_SPECIES
Tb 158.93 Tb.upf
Sm 150.36 Sm.upf
Er 167.26 Er.upf
CELL_PARAMETERS angstrom
-4.917 1.958 2.350
3.088 -3.921 2.594
13.151 18.410 12.177
ATOMIC_POSITIONS angstrom
Tb 10.125 12.585 10.698
Sm 4.117 10.184 7.263
Sm -0.742 1.076 4.684
Sm 8.772 13.846 13.951
Er 6.191 7.511 6.696
Er 10.557 16.532 15.448
Sm 4.345 5.112 4.831
Sm -2.458 0.979 1.175
Er 2.198 -0.441 4.966
Sm 3.160 6.539 8.298
Sm 3.861 1.924 6.475
Er 0.765 -0.085 1.672
Er 9.124 16.888 12.154
Sm 12.065 15.371 12.436
Er 5.131 8.936 10.425
Sm 7.461 14.523 10.645
Sm 2.550 2.600 3.169
Er 5.786 12.215 9.063
Sm 8.162 9.907 8.823
Sm 6.978 11.334 12.290
Tb 1.197 3.862 6.422
Er 5.536 4.232 8.057


Record 3
! PBE Pm3Sm2DyEr6, relaxed; values from VASP
! * DOS at the Fermi energy: 14.1 states/eV/cell
! * total DFT energy (no corrections): -4.62 eV per atom
! * energy relative to the elements: 1.5 kJ per mole of atoms
&SYSTEM
  ibrav = 0, nat = 12, ntyp = 4
/
ATOMIC_SPECIES
Pm 145.00 Pm.upf
Dy 162.50 Dy.upf
Er 167.26 Er.upf
Sm 150.36 Sm.upf
CELL_PARAMETERS angstrom
-5.152 0.242 -3.412
2.309 -5.471 1.727
-5.423 2.091 10.199
ATOMIC_POSITIONS angstrom
Pm -4.133 -1.569 4.257
Dy 0.000 0.000 0.000
Er -0.816 -1.736 2.971
Pm -6.620 0.336 2.544
Er -4.966 -3.303 7.254
Er -3.483 -3.403 1.274
Sm -0.179 -3.565 0.013
Er -3.301 0.166 1.260
Er -4.783 0.265 7.240
Pm -1.646 -3.473 5.970
Sm -2.664 -1.663 -1.698
Er -7.450 -1.401 5.542


Record 4
! PBE CeHo2Ga, relaxed; values from VASP
! * DOS at the Fermi energy: 9.9 states/eV/cell
! * total DFT energy (no corrections): -4.53 eV per atom
! * energy relative to the elements: -0.4 kJ per mole of atoms
! * energy above the most stable polymorph in this dataset: 0.243 eV per atom
&SYSTEM
  ibrav = 0, nat = 4, ntyp = 3
/
ATOMIC_SPECIES
Ga 69.72 Ga.upf
Ho 164.93 Ho.upf
Ce 140.12 Ce.upf
CELL_PARAMETERS angstrom
4.932 0.000 0.000
2.466 4.272 0.000
2.466 1.424 5.504
ATOMIC_POSITIONS angstrom
Ga 7.399 4.272 5.168
Ho 2.466 1.424 0.968
Ho 2.466 1.424 4.705
Ce 4.932 2.848 2.919


Record 5
! PBE Hg2TeRu, relaxed; values from VASP
! * DOS at the Fermi energy: 0.3 states/eV/cell
! * total DFT energy (no corrections): -2.93 eV per atom
! * formation energy without anion corrections: 0.32 eV per atom
&SYSTEM
  ibrav = 0, nat = 8, ntyp = 3
/
ATOMIC_SPECIES
Hg 200.59 Hg.upf
Te 127.60 Te.upf
Ru 101.07 Ru.upf
CELL_PARAMETERS angstrom
10.575 0.000 0.000
0.000 10.575 0.000
5.287 5.287 2.478
ATOMIC_POSITIONS angstrom
Hg 13.219 10.579 1.859
Te 0.000 0.000 0.000
Ru 5.287 10.575 1.239
Hg 5.284 7.931 0.620
Te 10.575 5.287 1.239
Hg 5.291 2.644 0.620
Ru 5.287 5.287 0.000
Hg 7.931 10.571 1.859


Record 6
! PBE LiCu2Au2, relaxed; values from VASP
! * DOS at the Fermi energy: 1.4 states/eV/cell
! * total DFT energy (no corrections): -3.30 eV per atom
! * energy relative to the elements: 3.4 kJ per mole of atoms
! * energy above the most stable polymorph in this dataset: 0.241 eV per atom
&SYSTEM
  ibrav = 0, nat = 5, ntyp = 3
/
ATOMIC_SPECIES
Cu 63.55 Cu.upf
Au 196.97 Au.upf
Li 6.94 Li.upf
CELL_PARAMETERS angstrom
-0.856 2.801 2.659
-0.707 -2.791 2.712
4.731 0.168 4.290
ATOMIC_POSITIONS angstrom
Cu 0.323 0.037 3.007
Au 1.622 -1.309 4.844
Li 0.000 0.000 0.000
Au 1.547 1.486 4.817
Cu 2.845 0.140 6.654


- Which value of total DFT energy (no corrections) does entry 1 give?
  -4.98 eV per atom


- Which value of DOS at the Fermi energy does entry 6 give?
  1.4 states/eV/cell


- The lowest total DFT energy (no corrections) belongs to which entry?
  Pm6Pb3S


- Number 5 is which compound?
  Hg2TeRu